{"formula": "LiAcGa", "functional": "PBE", "state": "relaxed", "dos_ef_per_ev_cell": 3.04, "polymorph_energy_mev_per_atom": 526, "ef_ev_per_atom": 0.20, "lattice": [[-1.335, 1.330, -3.889], [-2.878, -3.222, -0.114], [-3.206, 2.792, 2.055]], "species": ["Ga", "Ac", "Li"], "fractional_positions": [[0.500, 0.500, 0.500], [0.000, 0.000, 0.000], [0.500, 0.500, 0.000]]}

{"formula": "NaGa3C", "functional": "PBE", "state": "relaxed", "dos_ef_per_ev_cell": 3.45, "polymorph_energy_mev_per_atom": 0, "ef_ev_per_atom": 0.71, "lattice": [[-0.124, 2.036, -4.028], [-0.872, -3.964, -1.977], [-4.428, 0.723, 0.502]], "species": ["Na", "C", "Ga", "Ga", "Ga"], "fractional_positions": [[0.500, 0.500, 0.500], [0.000, 0.000, 0.000], [0.000, 0.500, 0.000], [0.000, 0.000, 0.500], [0.500, 0.000, 0.000]]}